Record 1
Below is an optimized crystal structure of Pm2Pr2Dy5, with properties calculated at the PBE level.

Output
Total magnetization   0.0 μB/cell
Symmetry   C2/m (12)
Calculated formation energy   232 meV per atom

Cell: 3.511 8.352 12.626 Å, 120.92 97.99 90.00°
Fractional coordinates of all 9 atoms:
1 Dy 0.000 0.000 0.000
2 Pr 0.815 0.774 0.629
3 Dy 0.690 0.855 0.380
4 Pm 0.454 0.263 0.907
5 Dy 0.900 0.540 0.800
6 Pr 0.185 0.226 0.371
7 Pm 0.546 0.737 0.093
8 Dy 0.310 0.145 0.620
9 Dy 0.100 0.460 0.200

---

Record 2
Below is an optimized crystal structure of Na8CdAu3, with properties calculated at the PBE level.

Output
Total magnetization   0.0 μB/cell
Symmetry   Fmmm (69)
Calculated formation energy   -131 meV per atom

Cell: 8.693 8.744 8.693 Å, 48.25 109.84 131.75°
Fractional coordinates of all 12 atoms:
1 Na 0.128 0.000 0.390
2 Na 0.610 0.000 0.872
3 Au 0.500 0.000 0.500
4 Na 0.131 0.517 0.869
5 Na 0.871 0.000 0.610
6 Au 0.750 0.500 0.750
7 Na 0.386 0.517 0.614
8 Na 0.390 0.000 0.129
9 Au 0.250 0.500 0.250
10 Na 0.613 0.483 0.387
11 Na 0.870 0.483 0.130
12 Cd 0.000 0.000 0.000

---

Record 3
Below is an optimized crystal structure of La9Nd4Ho, with properties calculated at the PBE level.

Output
Total magnetization   0.0 μB/cell
Symmetry   P6_3/mmc (194)
Calculated formation energy   141 meV per atom

Cell: 11.654 10.099 10.099 Å, 120.00 90.00 90.00°
Fractional coordinates of all 28 atoms:
1 Ho 0.250 0.667 0.333
2 La 0.531 0.207 0.414
3 La 0.969 0.586 0.793
4 Nd 0.750 0.886 0.114
5 La 0.750 0.921 0.460
6 La 0.250 0.079 0.540
7 Ho 0.750 0.333 0.667
8 Nd 0.000 0.000 0.000
9 La 0.969 0.207 0.793
10 Nd 0.500 0.000 0.000
11 Nd 0.250 0.114 0.227
12 La 0.031 0.414 0.207
13 Nd 0.250 0.114 0.886
14 La 0.969 0.207 0.414
15 La 0.469 0.793 0.586
16 La 0.750 0.540 0.460
17 La 0.250 0.460 0.540
18 Nd 0.750 0.227 0.114
19 Nd 0.250 0.773 0.886
20 La 0.031 0.793 0.207
21 La 0.469 0.414 0.207
22 La 0.750 0.540 0.079
23 La 0.250 0.460 0.921
24 Nd 0.750 0.886 0.773
25 La 0.469 0.793 0.207
26 La 0.031 0.793 0.586
27 La 0.531 0.586 0.793
28 La 0.531 0.207 0.793

---

Record 4
Below is an optimized crystal structure of Co2AsW, with properties calculated at the PBE level.

Output
Total magnetization   0.4 μB/cell
Symmetry   R-3m (166)
Calculated formation energy   187 meV per atom

Cell: 8.127 8.127 8.127 Å, 19.63 19.63 19.63°
Each line ends with the local moment (μB).
Fractional coordinates of all 4 atoms:
1 Co 0.495 0.495 0.495  0.20
2 Co 0.005 0.005 0.005  0.20
3 W 0.250 0.250 0.250  0.01
4 As 0.750 0.750 0.750  -0.01